Entry 1:
This record from Alexandria describes an optimized crystal structure of LaMgCr2Pb. The functional is PBE.

total moment = 7.87 μB/f.u.
calculated formation energy = 0.847 eV per atom

a = 5.275 Å, b = 5.275 Å, c = 5.284 Å
α = 90.00°, β = 90.00°, γ = 90.00°
Space group P4/mmm (No. 123)
One atom of each set of equivalent atoms:
La 0.000 0.000 0.000 (multiplicity 1)
Mg 0.500 0.500 0.000 (multiplicity 1)
Cr 0.000 0.500 0.500 (multiplicity 2)
Pb 0.500 0.500 0.500 (multiplicity 1)

Entry 2:
This record from Alexandria describes an optimized crystal structure of LaMgCrRe2. The functional is PBE.

total moment = 0.00 μB/f.u.
calculated formation energy = 1.066 eV per atom

a = 4.601 Å, b = 4.601 Å, c = 5.056 Å
α = 90.00°, β = 90.00°, γ = 90.00°
Space group P4/mmm (No. 123)
One atom of each set of equivalent atoms:
La 0.000 0.000 0.000 (multiplicity 1)
Mg 0.500 0.500 0.000 (multiplicity 1)
Cr 0.000 0.000 0.500 (multiplicity 1)
Re 0.000 0.500 0.500 (multiplicity 2)

What did the first record say?
This record from Alexandria describes an optimized crystal structure of LaMgCr2Pb. The functional is PBE.

total moment = 7.87 μB/f.u.
calculated formation energy = 0.847 eV per atom

a = 5.275 Å, b = 5.275 Å, c = 5.284 Å
α = 90.00°, β = 90.00°, γ = 90.00°
Space group P4/mmm (No. 123)
One atom of each set of equivalent atoms:
La 0.000 0.000 0.000 (multiplicity 1)
Mg 0.500 0.500 0.000 (multiplicity 1)
Cr 0.000 0.500 0.500 (multiplicity 2)
Pb 0.500 0.500 0.500 (multiplicity 1)

> Number 2 is which compound?

LaMgCrRe2